# 1
The following is a DFT calculation (GGA-PBE) of an optimized crystal structure of Pm6TmSc2.

Output
Volume   1146 Å³ per cell
Energy above the lowest structure with this stoichiometry   0 meV/atom
ΔE_f   133 meV per atom

Cell and atoms, written as CIF:
```
data_Pm6TmSc2
_chemical_formula_sum 'Pm24 Tm4 Sc8'
_symmetry_space_group_name_H-M 'C 1 2/c 1'
_symmetry_Int_Tables_number 15
_symmetry_space_group_name_Hall '-C 2yc'
_cell_length_a 13.600
_cell_length_b 13.177
_cell_length_c 6.653
_cell_angle_alpha 90.00
_cell_angle_beta 106.11
_cell_angle_gamma 90.00
loop_
_atom_site_label
_atom_site_fract_x
_atom_site_fract_y
_atom_site_fract_z
Pm1 0.028 0.141 0.003
Pm2 0.118 0.407 0.815
Pm3 0.243 0.207 0.728
Tm1 0.000 0.362 0.250
Sc1 0.188 0.026 0.375
```


# 2
The following is a DFT calculation (GGA-PBE) of an optimized crystal structure of Ac5HgPb6.

Output
Volume   832 Å³ per cell
ΔE_f   -458 meV per atom

Cell and atoms, written as CIF:
```
data_Ac5HgPb6
_chemical_formula_sum 'Ac10 Hg2 Pb12'
_symmetry_space_group_name_H-M 'I m m m'
_symmetry_Int_Tables_number 71
_symmetry_space_group_name_Hall '-I 2 2'
_cell_length_a 5.261
_cell_length_b 9.723
_cell_length_c 16.271
_cell_angle_alpha 90.00
_cell_angle_beta 90.00
_cell_angle_gamma 90.00
loop_
_atom_site_label
_atom_site_fract_x
_atom_site_fract_y
_atom_site_fract_z
Ac1 0.000 0.000 0.000
Ac2 0.000 0.000 0.361
Ac3 0.000 0.500 0.327
Hg1 0.000 0.500 0.000
Pb1 0.000 0.246 0.171
Pb2 0.000 0.265 0.500
```


# 3
The following is a DFT calculation (GGA-PBE) of an optimized crystal structure of SrAlCl2.

Output
Formation energy from raw total energies   -25.2 kcal/mol of atoms
Volume   108 Å³ per cell
Energy above the lowest structure with this stoichiometry   140 meV/atom

Cell and atoms, written as CIF:
```
data_SrAlCl2
_chemical_formula_sum 'Sr1 Al1 Cl2'
_symmetry_space_group_name_H-M 'P m m m'
_symmetry_Int_Tables_number 47
_symmetry_space_group_name_Hall '-P 2 2'
_cell_length_a 3.979
_cell_length_b 4.423
_cell_length_c 6.134
_cell_angle_alpha 90.00
_cell_angle_beta 90.00
_cell_angle_gamma 90.00
loop_
_atom_site_label
_atom_site_fract_x
_atom_site_fract_y
_atom_site_fract_z
Sr1 0.000 0.000 0.000
Al1 0.500 0.000 0.500
Cl1 0.000 0.500 0.500
Cl2 0.500 0.500 0.000
```


# 4
The following is a DFT calculation (GGA-PBE) of an optimized crystal structure of Na5Pt.

Output
Volume   601 Å³ per cell
Energy above the lowest structure with this stoichiometry   197 meV/atom
ΔE_f   177 meV per atom

Cell and atoms, written as CIF:
```
data_Na5Pt
_chemical_formula_sum 'Na20 Pt4'
_symmetry_space_group_name_H-M 'F -4 3 m'
_symmetry_Int_Tables_number 216
_symmetry_space_group_name_Hall 'F -4 2 3'
_cell_length_a 8.441
_cell_length_b 8.441
_cell_length_c 8.441
_cell_angle_alpha 90.00
_cell_angle_beta 90.00
_cell_angle_gamma 90.00
loop_
_atom_site_label
_atom_site_fract_x
_atom_site_fract_y
_atom_site_fract_z
Na1 0.000 0.000 0.000
Na2 0.123 0.123 0.377
Pt1 0.250 0.250 0.750
```


# 5
The following is a DFT calculation (GGA-PBE) of an optimized crystal structure of Ca3Sn2Hg4.

Output
Volume   480 Å³ per cell
ΔE_f   -493 meV per atom

Cell and atoms, written as CIF:
```
data_Ca3Sn2Hg4
_chemical_formula_sum 'Ca6 Sn4 Hg8'
_symmetry_space_group_name_H-M 'C 1 2/m 1'
_symmetry_Int_Tables_number 12
_symmetry_space_group_name_Hall '-C 2y'
_cell_length_a 11.341
_cell_length_b 4.951
_cell_length_c 9.533
_cell_angle_alpha 90.00
_cell_angle_beta 116.31
_cell_angle_gamma 90.00
loop_
_atom_site_label
_atom_site_fract_x
_atom_site_fract_y
_atom_site_fract_z
Ca1 0.000 0.000 0.000
Ca2 0.164 0.500 0.672
Sn1 0.109 0.500 0.272
Hg1 0.089 0.000 0.427
Hg2 0.193 0.500 0.020
```


# 6
The following is a DFT calculation (GGA-PBE) of an optimized crystal structure of AcAl2Cd4.

Output
Volume   332 Å³ per cell
ΔE_f   -221 meV per atom

Cell and atoms, written as CIF:
```
data_AcAl2Cd4
_chemical_formula_sum 'Ac2 Al4 Cd8'
_symmetry_space_group_name_H-M 'C m m m'
_symmetry_Int_Tables_number 65
_symmetry_space_group_name_Hall '-C 2 2'
_cell_length_a 4.586
_cell_length_b 15.855
_cell_length_c 4.567
_cell_angle_alpha 90.00
_cell_angle_beta 90.00
_cell_angle_gamma 90.00
loop_
_atom_site_label
_atom_site_fract_x
_atom_site_fract_y
_atom_site_fract_z
Ac1 0.000 0.000 0.000
Al1 0.000 0.419 0.500
Cd1 0.000 0.180 0.500
Cd2 0.000 0.316 0.000
```


# 7
The following is a DFT calculation (GGA-PBE) of an optimized crystal structure of BaLaRh2.

Output
Volume   228 Å³ per cell
ΔE_f   -249 meV per atom

Cell and atoms, written as CIF:
```
data_BaLaRh2
_chemical_formula_sum 'Ba2 La2 Rh4'
_symmetry_space_group_name_H-M 'I m m 2'
_symmetry_Int_Tables_number 44
_symmetry_space_group_name_Hall 'I 2 -2'
_cell_length_a 3.957
_cell_length_b 4.158
_cell_length_c 13.830
_cell_angle_alpha 90.00
_cell_angle_beta 90.00
_cell_angle_gamma 90.00
loop_
_atom_site_label
_atom_site_fract_x
_atom_site_fract_y
_atom_site_fract_z
Ba1 0.000 0.000 0.000
La1 0.000 0.500 0.247
Rh1 0.000 0.000 0.405
Rh2 0.000 0.500 0.768
```


# 8
The following is a DFT calculation (GGA-PBE) of an optimized crystal structure of Cs2Zr2ZnH12O6F12.

Output
Final energy   -5.31 eV/atom
Volume   965 Å³ per cell

Cell and atoms, written as CIF:
```
data_Cs2Zr2ZnH12O6F12
_chemical_formula_sum 'Cs4 Zr4 Zn2 H24 O12 F24'
_symmetry_space_group_name_H-M 'P 1 21/c 1'
_symmetry_Int_Tables_number 14
_symmetry_space_group_name_Hall '-P 2ybc'
_cell_length_a 6.689
_cell_length_b 11.022
_cell_length_c 13.979
_cell_angle_alpha 90.00
_cell_angle_beta 110.59
_cell_angle_gamma 90.00
loop_
_atom_site_label
_atom_site_fract_x
_atom_site_fract_y
_atom_site_fract_z
Cs1 0.135 0.214 0.094
Zr1 0.337 0.030 0.865
Zn1 0.500 0.000 0.500
H1 0.014 0.588 0.067
H2 0.119 0.600 0.789
H3 0.230 0.628 0.144
H4 0.276 0.724 0.795
H5 0.322 0.171 0.413
H6 0.327 0.588 0.747
O1 0.159 0.613 0.071
O2 0.274 0.631 0.800
O3 0.287 0.110 0.456
F1 0.088 0.063 0.725
F2 0.095 0.029 0.918
F3 0.267 0.643 0.293
F4 0.370 0.208 0.837
F5 0.402 0.513 0.683
F6 0.492 0.606 0.483
```


# 9
The following is a DFT calculation (GGA-PBE) of an optimized crystal structure of Si2Te.

Output
Formation energy from raw total energies   14.6 kcal/mol of atoms
Volume   146 Å³ per cell
Energy above the lowest structure with this stoichiometry   609 meV/atom

Cell and atoms, written as CIF:
```
data_Si2Te
_chemical_formula_sum 'Si4 Te2'
_symmetry_space_group_name_H-M 'P n n m'
_symmetry_Int_Tables_number 58
_symmetry_space_group_name_Hall '-P 2 2n'
_cell_length_a 5.540
_cell_length_b 6.909
_cell_length_c 3.812
_cell_angle_alpha 90.00
_cell_angle_beta 90.00
_cell_angle_gamma 90.00
loop_
_atom_site_label
_atom_site_fract_x
_atom_site_fract_y
_atom_site_fract_z
Si1 0.157 0.112 0.000
Te1 0.000 0.500 0.000
```


# 10
The following is a DFT calculation (GGA-PBE) of an optimized crystal structure of Sm3Cd2Au4.

Output
Volume   423 Å³ per cell
Energy above the lowest structure with this stoichiometry   0 meV/atom
ΔE_f   -658 meV per atom

Cell and atoms, written as CIF:
```
data_Sm3Cd2Au4
_chemical_formula_sum 'Sm6 Cd4 Au8'
_symmetry_space_group_name_H-M 'C 1 2/m 1'
_symmetry_Int_Tables_number 12
_symmetry_space_group_name_Hall '-C 2y'
_cell_length_a 11.151
_cell_length_b 4.759
_cell_length_c 9.076
_cell_angle_alpha 90.00
_cell_angle_beta 118.62
_cell_angle_gamma 90.00
loop_
_atom_site_label
_atom_site_fract_x
_atom_site_fract_y
_atom_site_fract_z
Sm1 0.000 0.000 0.000
Sm2 0.150 0.500 0.688
Cd1 0.145 0.500 0.313
Au1 0.064 0.000 0.397
Au2 0.221 0.500 0.061
```


# 11
The following is a DFT calculation (GGA-PBE) of an optimized crystal structure of Tl2GaC.

Output
Volume   401 Å³ per cell
Energy above the lowest structure with this stoichiometry   0 meV/atom
ΔE_f   1079 meV per atom

Cell and atoms, written as CIF:
```
data_Tl2GaC
_chemical_formula_sum 'Tl8 Ga4 C4'
_symmetry_space_group_name_H-M 'I -4 2 d'
_symmetry_Int_Tables_number 122
_symmetry_space_group_name_Hall 'I -4 2bw'
_cell_length_a 6.393
_cell_length_b 6.393
_cell_length_c 9.805
_cell_angle_alpha 90.00
_cell_angle_beta 90.00
_cell_angle_gamma 90.00
loop_
_atom_site_label
_atom_site_fract_x
_atom_site_fract_y
_atom_site_fract_z
Tl1 0.171 0.250 0.125
Ga1 0.000 0.000 0.500
C1 0.000 0.000 0.000
```


# 12
The following is a DFT calculation (GGA-PBE) of an optimized crystal structure of LiO2.

Output
Formation energy from raw total energies   -21.2 kcal/mol of atoms
Volume   54 Å³ per cell
Energy above the lowest structure with this stoichiometry   0 meV/atom

Cell and atoms, written as CIF:
```
data_LiO2
_chemical_formula_sum 'Li2 O4'
_symmetry_space_group_name_H-M 'P n n m'
_symmetry_Int_Tables_number 58
_symmetry_space_group_name_Hall '-P 2 2n'
_cell_length_a 4.122
_cell_length_b 4.945
_cell_length_c 2.650
_cell_angle_alpha 90.00
_cell_angle_beta 90.00
_cell_angle_gamma 90.00
loop_
_atom_site_label
_atom_site_fract_x
_atom_site_fract_y
_atom_site_fract_z
Li1 0.000 0.000 0.000
O1 0.122 0.410 0.000
```